Entry 1:
La2Pr2GaGe4 (PBE, optimized geometry); total energy = -4.93 eV/atom; SG = I4/mmm (139); formation energy = -3.46 eV per formula unit; crystal system = tetragonal
1.0
-3.598 3.598 4.529
3.598 -3.598 4.529
3.598 3.598 -4.529
La Pr Ga Ge
2 2 1 4
Cartesian
3.598 0.000 2.265
0.000 3.598 2.265
0.000 0.000 1.723
0.000 0.000 7.336
0.000 0.000 4.529
1.817 1.817 0.000
1.781 -1.781 4.529
-1.781 1.781 4.529
1.781 1.781 4.529



Entry 2:
SrScSi3 (PBE, optimized geometry); total energy = -3.47 eV/atom; formation energy (no corrections) = 670 kJ/mol of formula units; SG = Pm-3m (221); crystal system = cubic
1.0
5.236 0.000 0.000
0.000 5.236 0.000
0.000 0.000 5.236
Sr Sc Si
1 1 3
Cartesian
0.000 0.000 0.000
2.618 2.618 2.618
0.000 0.000 2.618
0.000 2.618 0.000
2.618 0.000 0.000



Entry 3:
AlV2Sn (PBE, optimized geometry); total energy = -6.04 eV/atom; SG = I-42d (122); formation energy = 1.84 eV per formula unit; crystal system = tetragonal
1.0
-3.549 3.549 2.764
3.549 -3.549 2.764
3.549 3.549 -2.764
Al V Sn
2 4 2
Cartesian
0.000 0.000 0.000
0.000 3.549 1.382
1.775 1.685 -0.691
1.865 -1.775 3.456
1.775 1.865 2.073
1.685 5.324 0.691
3.549 0.000 1.382
0.000 0.000 2.764



Entry 4:
Y2ScGa4 (PBE, optimized geometry); total energy = -4.53 eV/atom; SG = I4/mmm (139); formation energy = -0.35 eV per formula unit; crystal system = tetragonal
1.0
-2.478 2.478 7.506
2.478 -2.478 7.506
2.478 2.478 -7.506
Y Sc Ga
2 1 4
Cartesian
0.000 0.000 1.837
0.000 0.000 13.176
0.000 0.000 7.506
2.478 0.000 0.000
0.000 0.000 4.808
0.000 2.478 0.000
0.000 0.000 10.204



Q: Which of these has the lowest total energy?
A: AlV2Sn



Q: Look up the total energy of the third one.
A: -6.04 eV/atom



Q: What is the total energy in the second record?
A: -3.47 eV/atom